# 1
Computed, not measured: crystalline Nd5Ho3Er2 at its relaxed geometry at the PBE level of DFT.

```
Nd5Ho3Er2
1.0
8.809 2.086 -4.301
0.645 9.002 -4.357
-2.298 -2.625 10.721
Nd Er Ho
10 4 6
Cartesian
3.648 6.372 -0.298 Nd
1.655 -0.084 5.983 Nd
3.509 2.091 2.362 Nd
7.715 2.896 -0.311 Nd
0.714 2.899 0.480 Nd
-0.558 5.568 2.375 Nd
2.630 5.149 -2.977 Nd
4.527 3.315 5.040 Nd
6.442 5.565 1.583 Nd
5.502 8.547 -3.920 Nd
4.236 2.946 -0.856 Er
1.994 8.516 -2.548 Er
2.921 5.517 2.919 Er
5.163 -0.053 4.611 Er
6.715 1.694 -2.943 Ho
0.189 6.405 -0.838 Ho
1.082 3.366 4.541 Ho
0.442 6.769 5.006 Ho
6.075 5.097 -2.478 Ho
6.968 2.058 2.901 Ho
```

Output
ΔH_f (0 K) (eV per atom): 0.179
E above lowest polymorph (eV/atom): 0.000
ρ (kg/m³): 7638

***

# 2
Computed, not measured: crystalline ZrAlCu2 at its relaxed geometry at the PBE level of DFT.

```
ZrAlCu2
1.0
-2.872 -1.480 -2.609
1.975 -1.309 -1.431
0.369 -5.020 2.441
Al Cu Zr
1 2 1
Cartesian
0.405 -5.857 -0.429 Al
-1.210 -2.011 -0.832 Cu
0.749 -5.172 2.109 Cu
1.068 -2.954 0.499 Zr
```

Output
ΔH_f (0 K) (eV per atom): -0.172
ρ (kg/m³): 6535

***

# 3
Computed, not measured: crystalline FeTc at its relaxed geometry at the PBE level of DFT.

```
FeTc
1.0
3.396 0.000 0.000
1.698 2.941 0.000
1.698 0.980 2.773
Fe Tc
1 1
Cartesian
0.000 0.000 0.000 Fe
3.396 1.961 1.386 Tc
```

Output
ΔH_f (0 K) (eV per atom): 0.985
ρ (kg/m³): 9226

***

# 4
Computed, not measured: crystalline Dy2Mg3Al2 at its relaxed geometry at the PBE level of DFT.

```
Dy2Mg3Al2
1.0
-1.765 1.972 -2.212
-2.787 -3.427 -0.831
-4.982 4.961 8.397
Mg Dy Al
3 2 2
Cartesian
-3.224 -0.245 -0.335 Mg
0.000 0.000 0.000 Mg
-6.310 3.751 5.689 Mg
-2.064 1.051 2.584 Dy
-5.705 0.483 4.982 Dy
-4.498 2.828 3.421 Al
-5.035 0.679 1.933 Al
```

Output
ΔH_f (0 K) (eV per atom): -0.238
ρ (kg/m³): 4516

***

# 5
Computed, not measured: crystalline Ca2Ac15Tm2 at its relaxed geometry at the PBE level of DFT.

```
Ca2Ac15Tm2
1.0
9.358 -0.740 2.388
1.672 9.237 2.388
-0.961 -0.740 9.610
Ac Ca Tm
15 2 2
Cartesian
0.901 6.315 4.504 Ac
3.117 2.401 9.936 Ac
6.952 5.356 4.451 Ac
8.268 2.401 6.331 Ac
3.923 6.315 2.388 Ac
5.638 0.375 8.056 Ac
6.336 -0.740 4.504 Ac
-0.480 -0.370 4.805 Ac
4.431 7.382 6.331 Ac
-0.190 2.182 7.495 Ac
4.679 -0.370 1.194 Ac
1.801 5.356 8.056 Ac
2.061 -0.740 7.495 Ac
0.836 4.619 1.194 Ac
7.107 2.182 2.388 Ac
6.821 5.255 9.747 Ca
3.248 2.502 4.640 Ca
9.152 7.050 13.076 Tm
0.917 0.707 1.311 Tm
```

Output
ΔH_f (0 K) (eV per atom): 0.270
ρ (kg/m³): 7221

***

# 6
Computed, not measured: crystalline V3S4 at its relaxed geometry at the PBE level of DFT.

```
V3S4
1.0
-8.451 1.754 -2.829
3.352 -8.417 -0.651
-1.133 -0.681 2.964
V S
6 8
Cartesian
-4.019 -0.309 -0.719 V
-3.891 -3.367 -1.372 V
-2.215 -7.034 0.204 V
0.259 -5.601 1.478 V
-2.342 -3.976 0.857 V
-6.492 -1.742 -1.994 V
-4.011 -5.306 -0.086 S
-6.076 0.630 -1.290 S
-5.367 -2.147 0.121 S
-0.866 -5.197 -0.636 S
-6.103 -4.012 -2.366 S
-0.157 -7.973 0.775 S
-2.223 -2.037 -0.429 S
-0.130 -3.332 1.851 S
```

Output
E above lowest polymorph (eV/atom): 0.000
ΔE_f (raw) (kJ per mole of atoms): -98
ρ (kg/m³): 4025

***

# 7
Computed, not measured: crystalline MgAlAsO5 at its relaxed geometry at the PBE level of DFT.

```
MgAlAsO5
1.0
-4.555 -0.574 3.077
0.047 -5.157 -1.988
5.381 0.658 4.294
O Mg Al As
10 2 2 2
Cartesian
1.453 -3.404 4.432 O
1.110 -4.712 -0.605 O
4.087 -3.371 3.296 O
1.858 -3.746 1.611 O
-0.986 -1.327 3.771 O
-3.214 -1.702 2.086 O
-0.581 -1.669 0.951 O
-0.237 -0.361 5.987 O
2.088 -1.318 3.121 O
-1.216 -3.755 2.261 O
0.020 -3.626 0.595 Mg
0.853 -1.447 4.787 Mg
2.691 0.329 2.147 Al
0.000 0.000 0.000 Al
2.422 -3.009 3.060 As
-1.549 -2.064 2.322 As
```

Output
ΔE_f (raw) (kJ per mole of atoms): -209
ρ (kg/m³): 3669

***

# 8
Computed, not measured: crystalline SrLiAlO3 at its relaxed geometry at the PBE level of DFT.

```
SrLiAlO3
1.0
3.690 0.000 0.000
0.000 5.009 0.000
0.000 0.000 3.690
Sr O Li Al
1 3 1 1
Cartesian
0.000 0.000 0.000 Sr
1.845 2.504 0.000 O
0.000 2.504 1.845 O
1.845 0.000 1.845 O
0.000 2.504 0.000 Li
1.845 2.504 1.845 Al
```

Output
E above lowest polymorph (eV/atom): 0.258
ΔE_f (raw) (kJ per mole of atoms): -229
ρ (kg/m³): 4129

***

# 9
Computed, not measured: crystalline Sn2Ge2Br at its relaxed geometry at the PBE level of DFT.

```
Sn2Ge2Br
1.0
-0.825 1.536 4.814
-2.776 -4.214 0.868
2.230 -3.697 4.284
Br Ge Sn
1 2 2
Cartesian
0.000 0.000 0.000 Br
-0.586 -4.442 6.762 Ge
-0.784 -1.934 3.205 Ge
-0.198 -1.750 5.970 Sn
-1.173 -4.625 3.997 Sn
```

Output
E above lowest polymorph (eV/atom): 0.000
ΔE_f (raw) (kJ per mole of atoms): -5
ρ (kg/m³): 5994

***

# 10
Computed, not measured: crystalline K2ZnSe at its relaxed geometry at the PBE level of DFT.

```
K2ZnSe
1.0
4.322 0.000 0.000
0.000 3.912 -0.009
0.000 3.935 8.179
Se K Zn
1 2 1
Cartesian
2.161 1.962 2.043 Se
0.000 3.915 0.410 K
0.000 3.920 3.666 K
2.161 5.885 6.128 Zn
```

Output
E above lowest polymorph (eV/atom): 0.167
ΔE_f (raw) (kJ per mole of atoms): -42
ρ (kg/m³): 2670

***

# 11
Computed, not measured: crystalline SrCaCr2Ni at its relaxed geometry at the PBE level of DFT.

```
SrCaCr2Ni
1.0
-4.562 -1.832 1.017
-0.614 -1.656 -5.737
2.031 -4.464 1.071
Cr Ca Ni Sr
2 1 1 1
Cartesian
-2.281 -0.916 0.508 Cr
1.016 -2.232 0.536 Cr
0.000 0.000 0.000 Ca
-1.572 -3.976 -1.825 Ni
-0.307 -0.828 -2.869 Sr
```

Output
ΔH_f (0 K) (eV per atom): 1.982
ρ (kg/m³): 3188

***

# 12
Computed, not measured: crystalline AcY12Er5 at its relaxed geometry at the PBE level of DFT.

```
AcY12Er5
1.0
15.190 -0.001 0.023
7.594 7.601 0.012
-0.008 0.000 5.049
Y Er Ac
12 5 1
Cartesian
12.687 5.081 2.545 Y
5.093 2.518 2.533 Y
5.037 5.029 5.057 Y
12.632 2.572 5.068 Y
17.739 2.572 0.028 Y
17.680 7.600 5.076 Y
2.592 0.000 2.529 Y
20.185 7.600 2.555 Y
10.144 5.029 0.016 Y
5.096 0.000 0.009 Y
10.090 2.519 2.540 Y
17.683 5.082 2.551 Y
7.591 4.992 2.536 Er
7.587 2.526 5.061 Er
15.185 7.601 2.548 Er
15.186 2.609 2.548 Er
15.189 5.074 0.023 Er
15.190 0.000 0.023 Ac
```

Output
ΔH_f (0 K) (eV per atom): 0.035
ρ (kg/m³): 6067

***

# 13
Computed, not measured: crystalline NdSmTm6 at its relaxed geometry at the PBE level of DFT.

```
NdSmTm6
1.0
-2.142 -2.482 -3.762
-3.209 -2.085 3.203
-6.329 7.587 -1.401
Tm Sm Nd
6 1 1
Cartesian
-2.648 0.649 -2.230 Tm
-3.181 0.847 1.252 Tm
-2.675 -2.283 -0.280 Tm
-6.357 4.655 0.550 Tm
-5.824 4.456 -2.933 Tm
-5.840 1.510 -0.980 Tm
0.000 0.000 0.000 Sm
-3.165 3.794 -0.700 Nd
```

Output
ΔH_f (0 K) (eV per atom): 0.028
E above lowest polymorph (eV/atom): 0.000
ρ (kg/m³): 8742

***

# 14
Computed, not measured: crystalline HgAs4Au at its relaxed geometry at the PBE level of DFT.

```
HgAs4Au
1.0
-1.106 2.853 5.161
-3.198 5.077 -0.004
-5.554 0.049 2.271
Hg As Au
1 4 1
Cartesian
0.000 0.000 0.000 Hg
-6.729 2.856 3.955 As
-4.137 4.490 5.639 As
-5.357 5.786 2.629 As
-3.493 2.827 2.632 As
-7.394 5.984 5.570 Au
```

Output
ΔH_f (0 K) (eV per atom): 0.420
ρ (kg/m³): 7580

***

# 15
Computed, not measured: crystalline K2NaGeP2 at its relaxed geometry at the PBE level of DFT.

```
K2NaGeP2
1.0
-0.814 -1.337 -6.544
4.761 -4.394 0.306
-6.894 -2.349 4.797
K Ge P Na
4 2 4 2
Cartesian
0.028 -5.047 -4.179 K
-2.976 -3.033 2.738 K
-1.941 -2.174 -1.026 K
-1.007 -5.906 -0.416 K
3.163 -3.964 -3.043 Ge
0.783 -1.767 -3.195 Ge
-1.493 -1.916 -4.302 P
-4.169 -4.515 0.021 P
1.222 -3.565 -1.463 P
-1.455 -6.164 2.860 P
1.190 -1.099 0.076 Na
3.571 -3.296 0.229 Na
```

Output
ΔH_f (0 K) (eV per atom): -0.304
ρ (kg/m³): 2437

***

# 16
Computed, not measured: crystalline Th4Te3Rh at its relaxed geometry at the PBE level of DFT.

```
Th4Te3Rh
1.0
-1.074 5.518 -4.981
-1.686 -6.879 -3.365
-8.440 0.765 2.666
Th Te Rh
8 6 2
Cartesian
-9.943 0.731 -5.205 Th
-3.929 1.358 -2.181 Th
-2.746 -2.631 -4.818 Th
-4.364 -4.928 -1.757 Th
-7.271 -1.954 -3.499 Th
-1.257 -1.327 -0.476 Th
-8.454 2.035 -0.863 Th
-6.836 4.331 -3.923 Th
-2.758 0.800 -5.068 Te
-4.307 -1.770 -1.918 Te
-8.442 -1.396 -0.612 Te
-6.893 1.174 -3.762 Te
-3.923 4.421 -2.751 Te
-5.590 1.862 0.436 Te
-8.197 4.808 -1.401 Rh
-1.317 1.474 -0.914 Rh
```

Output
ΔE_f (raw) (kJ per mole of atoms): -99
ρ (kg/m³): 9503

***

# 17
Computed, not measured: crystalline CrInNi at its relaxed geometry at the PBE level of DFT.

```
CrInNi
1.0
5.051 0.007 -0.010
2.998 4.065 0.010
-4.018 -2.048 2.274
In Cr Ni
1 1 1
Cartesian
2.631 1.331 0.000 In
0.132 0.067 0.000 Cr
5.286 2.674 0.000 Ni
```

Output
ΔH_f (0 K) (eV per atom): 0.201
ρ (kg/m³): 8030

***

# 18
Computed, not measured: crystalline AcHo2N at its relaxed geometry at the PBE level of DFT.

```
AcHo2N
1.0
3.278 0.000 0.000
0.000 3.278 0.000
0.000 0.000 8.893
Ho Ac N
2 1 1
Cartesian
0.000 0.000 7.483 Ho
0.000 0.000 1.409 Ho
1.639 1.639 4.446 Ac
1.639 1.639 0.000 N
```

Output
E above lowest polymorph (eV/atom): 0.614
ΔE_f (raw) (kJ per mole of atoms): -4
ρ (kg/m³): 9923

***

# 19
Computed, not measured: crystalline Rb3LiAu2I6 at its relaxed geometry at the PBE level of DFT.

```
Rb3LiAu2I6
1.0
-4.913 7.183 0.509
0.212 -5.617 6.663
7.394 4.788 3.801
I Rb Li Au
6 3 1 2
Cartesian
1.500 0.796 3.254 I
1.615 -2.229 6.843 I
3.724 4.715 3.856 I
1.192 5.558 7.719 I
-1.031 1.639 7.117 I
1.078 8.583 4.130 I
0.000 0.000 0.000 Rb
-0.633 4.582 3.882 Rb
3.326 1.773 7.091 Rb
3.697 2.394 1.900 Li
2.027 6.304 5.250 Au
0.666 0.050 5.723 Au
```

Output
ΔE_f (raw) (kJ per mole of atoms): -83
ρ (kg/m³): 3731

***

# 20
Computed, not measured: crystalline TbLu3S at its relaxed geometry at the PBE level of DFT.

```
TbLu3S
1.0
5.198 0.000 0.000
0.000 5.198 0.000
0.000 0.000 5.198
Tb Lu S
1 3 1
Cartesian
2.599 2.599 2.599 Tb
0.000 0.000 2.599 Lu
0.000 2.599 0.000 Lu
2.599 0.000 0.000 Lu
0.000 0.000 0.000 S
```

Output
ΔE_f (raw) (kJ per mole of atoms): -56
ρ (kg/m³): 8464

***

# 21
Computed, not measured: crystalline TaAlTl4 at its relaxed geometry at the PBE level of DFT.

```
TaAlTl4
1.0
0.000 4.263 4.263
4.263 0.000 4.263
4.263 4.263 0.000
Al Tl Ta
1 4 1
Cartesian
6.394 6.394 6.394 Al
3.195 5.330 5.330 Tl
3.195 3.195 3.195 Tl
5.330 3.195 5.330 Tl
5.330 5.330 3.195 Tl
0.000 0.000 0.000 Ta
```

Output
ΔH_f (0 K) (eV per atom): 0.979
ρ (kg/m³): 10993

***

# 22
Computed, not measured: crystalline BeReAu2 at its relaxed geometry at the PBE level of DFT.

```
BeReAu2
1.0
-1.042 -1.801 1.865
3.371 1.174 3.018
-2.778 3.437 1.766
Re Au Be
1 2 1
Cartesian
0.296 2.305 2.392 Re
0.000 0.000 0.000 Au
1.164 -0.314 2.441 Au
-1.910 0.818 1.816 Be
```

Output
ΔH_f (0 K) (eV per atom): 0.556
ρ (kg/m³): 15738

***

# 23
Computed, not measured: crystalline UFe2Re at its relaxed geometry at the PBE level of DFT.

```
UFe2Re
1.0
3.699 0.000 0.000
0.000 3.948 0.000
0.000 0.000 3.948
U Fe Re
1 2 1
Cartesian
1.849 0.000 0.000 U
0.000 1.974 0.000 Fe
0.000 0.000 1.974 Fe
1.849 1.974 1.974 Re
```

Output
ΔH_f (0 K) (eV per atom): 0.062
E above lowest polymorph (eV/atom): 0.000
ρ (kg/m³): 15438